# PBE TmPuBi2, relaxed
# **Formation enthalpy at 0 K**: -0.55 eV/atom
# **Density of states at the Fermi level**: 15.17 states/eV/f.u.
# **Calculated volume**: 383 Å³ per cell
data_TmPuBi2
_cell_length_a 4.4905
_cell_length_b 4.4905
_cell_length_c 21.9451
_cell_angle_alpha 90.00
_cell_angle_beta 90.00
_cell_angle_gamma 120.00
_space_group_name_H-M_alt 'R -3 m'
_space_group_IT_number 166
_space_group_name_Hall '-R 3 2"'
loop_
_atom_site_label
_atom_site_fract_x
_atom_site_fract_y
_atom_site_fract_z
Tm1 0.0000 0.0000 0.0000
Pu1 0.0000 0.0000 0.5000
Bi1 0.0000 0.0000 0.2520

# PBE Tm2PuBi3, relaxed
# **Formation enthalpy at 0 K**: -0.62 eV/atom
# **Density of states at the Fermi level**: 16.33 states/eV/f.u.
# **Calculated volume**: 379 Å³ per cell
data_Tm2PuBi3
_cell_length_a 4.477
_cell_length_b 4.477
_cell_length_c 18.914
_cell_angle_alpha 90.00
_cell_angle_beta 90.00
_cell_angle_gamma 90.00
_space_group_name_H-M_alt 'I 4/m m m'
_space_group_IT_number 139
_space_group_name_Hall '-I 4 2'
loop_
_atom_site_label
_atom_site_fract_x
_atom_site_fract_y
_atom_site_fract_z
Tm1 0.000 0.000 0.166
Pu1 0.000 0.000 0.500
Bi1 0.000 0.000 0.000
Bi2 0.000 0.000 0.331

# PBE TmPuBi, relaxed
# **Formation enthalpy at 0 K**: -0.23 eV/atom
# **Density of states at the Fermi level**: 8.45 states/eV/f.u.
# **Calculated volume**: 172 Å³ per cell
data_TmPuBi
_cell_length_a 4.079
_cell_length_b 4.079
_cell_length_c 10.322
_cell_angle_alpha 90.00
_cell_angle_beta 90.00
_cell_angle_gamma 90.00
_space_group_name_H-M_alt 'I 4 m m'
_space_group_IT_number 107
_space_group_name_Hall 'I 4 -2'
loop_
_atom_site_label
_atom_site_fract_x
_atom_site_fract_y
_atom_site_fract_z
Tm1 0.000 0.000 0.000
Pu1 0.000 0.000 0.687
Bi1 0.000 0.000 0.352

# PBE TmPuBi2, relaxed
# **Formation enthalpy at 0 K**: -0.41 eV/atom
# **Density of states at the Fermi level**: 13.57 states/eV/f.u.
# **Calculated volume**: 463 Å³ per cell
data_TmPuBi2
_cell_length_a 7.737
_cell_length_b 7.737
_cell_length_c 7.737
_cell_angle_alpha 90.00
_cell_angle_beta 90.00
_cell_angle_gamma 90.00
_space_group_name_H-M_alt 'F m -3 m'
_space_group_IT_number 225
_space_group_name_Hall '-F 4 2 3'
loop_
_atom_site_label
_atom_site_fract_x
_atom_site_fract_y
_atom_site_fract_z
Tm1 0.000 0.000 0.000
Pu1 0.000 0.000 0.500
Bi1 0.250 0.250 0.250

# PBE TmPu2Bi, relaxed
# **Formation enthalpy at 0 K**: -0.24 eV/atom
# **Density of states at the Fermi level**: 10.66 states/eV/f.u.
# **Calculated volume**: 109 Å³ per cell
data_TmPu2Bi
_cell_length_a 4.596
_cell_length_b 4.596
_cell_length_c 5.182
_cell_angle_alpha 90.00
_cell_angle_beta 90.00
_cell_angle_gamma 90.00
_space_group_name_H-M_alt 'P 4/m m m'
_space_group_IT_number 123
_space_group_name_Hall '-P 4 2'
loop_
_atom_site_label
_atom_site_fract_x
_atom_site_fract_y
_atom_site_fract_z
Tm1 0.000 0.000 0.000
Pu1 0.000 0.500 0.500
Bi1 0.500 0.500 0.000

# PBE TmPuBi2, relaxed
# **Formation enthalpy at 0 K**: -0.43 eV/atom
# **Density of states at the Fermi level**: 9.43 states/eV/f.u.
# **Calculated volume**: 115 Å³ per cell
data_TmPuBi2
_cell_length_a 3.719
_cell_length_b 3.719
_cell_length_c 8.323
_cell_angle_alpha 90.00
_cell_angle_beta 90.00
_cell_angle_gamma 90.00
_space_group_name_H-M_alt 'P 4/m m m'
_space_group_IT_number 123
_space_group_name_Hall '-P 4 2'
loop_
_atom_site_label
_atom_site_fract_x
_atom_site_fract_y
_atom_site_fract_z
Tm1 0.000 0.000 0.000
Pu1 0.000 0.000 0.500
Bi1 0.500 0.500 0.241